## Zr2BPd (PBE)

Data for a geometry-optimized Zr2BPd structure.

As for the crystal system: cubic. The value obtained for the magnetization is 2.5 μB/f.u. Its calculated total energy is -6.78 eV/atom.

It has space group F-43m (No. 216), with a = 6.386 Å, b = 6.386 Å, c = 6.386 Å, α = 90.00°, β = 90.00° and γ = 90.00°. Symmetry generates all atoms from Zr at (0.000, 0.000, 0.000), Zr at (0.250, 0.250, 0.250), B at (0.000, 0.000, 0.500) and Pd at (0.250, 0.250, 0.750).